# HgTe2SI | Alexandria via LeMat-Bulk | GGA-PBE | optimized geometry
# SG = No. 123
# ρ = 6.3 g/cm³
# Relative energy among the computed polymorphs = 0 meV/atom
# Density of states at the Fermi level = 5.22 states/eV/cell
# Raw formation energy = 0.420 eV/atom
data_HgTe2SI
_chemical_formula_sum 'Hg1 Te2 S1 I1'
_cell_length_a 5.362
_cell_length_b 5.362
_cell_length_c 5.597
_cell_angle_alpha 90.00
_cell_angle_beta 90.00
_cell_angle_gamma 90.00
_space_group_name_H-M_alt 'P 1'
_space_group_IT_number 1
loop_
_space_group_symop_operation_xyz
'x,y,z'
loop_
_atom_site_label
_atom_site_fract_x
_atom_site_fract_y
_atom_site_fract_z
Te1 0.500 0.000 0.000
Te2 0.000 0.500 0.000
I1 0.000 0.000 0.500
Hg1 0.500 0.500 0.500
S1 0.000 0.000 0.000


# Hg6Te2S2I | Alexandria via LeMat-Bulk | GGA-PBE | optimized geometry
# SG = No. 12
# ρ = 7.1 g/cm³
# Density of states at the Fermi level = 4.69 states/eV/cell
# Raw formation energy = -0.021 eV/atom
data_Hg6Te2S2I
_chemical_formula_sum 'Hg6 Te2 S2 I1'
_cell_length_a 7.401
_cell_length_b 8.609
_cell_length_c 8.435
_cell_angle_alpha 123.11
_cell_angle_beta 90.00
_cell_angle_gamma 115.46
_space_group_name_H-M_alt 'P 1'
_space_group_IT_number 1
loop_
_space_group_symop_operation_xyz
'x,y,z'
loop_
_atom_site_label
_atom_site_fract_x
_atom_site_fract_y
_atom_site_fract_z
Hg1 0.329 0.179 0.925
Hg2 0.735 0.470 0.604
Hg3 0.671 0.821 0.075
Hg4 0.265 0.530 0.396
Hg5 0.850 0.179 0.925
Hg6 0.150 0.821 0.075
Te1 0.279 0.558 0.821
Te2 0.721 0.442 0.179
I1 0.500 0.000 0.500
S1 0.030 0.060 0.286
S2 0.970 0.940 0.714


# HgTeS2I | Alexandria via LeMat-Bulk | GGA-PBE | optimized geometry
# SG = No. 11
# ρ = 4.6 g/cm³
# Density of states at the Fermi level = 0.03 states/eV/cell
# Raw formation energy = -0.037 eV/atom
data_HgTeS2I
_chemical_formula_sum 'Hg2 Te2 S4 I2'
_cell_length_a 6.621
_cell_length_b 7.390
_cell_length_c 7.630
_cell_angle_alpha 94.28
_cell_angle_beta 90.00
_cell_angle_gamma 90.00
_space_group_name_H-M_alt 'P 1'
_space_group_IT_number 1
loop_
_space_group_symop_operation_xyz
'x,y,z'
loop_
_atom_site_label
_atom_site_fract_x
_atom_site_fract_y
_atom_site_fract_z
S1 0.750 0.593 0.415
S2 0.750 0.576 0.878
S3 0.250 0.424 0.122
S4 0.250 0.407 0.585
I1 0.250 0.966 0.756
I2 0.750 0.034 0.244
Hg1 0.250 0.647 0.903
Hg2 0.750 0.353 0.097
Te1 0.750 0.371 0.611
Te2 0.250 0.629 0.389


# Hg4Te2SI | Alexandria via LeMat-Bulk | GGA-PBE | optimized geometry
# SG = No. 121
# ρ = 6.9 g/cm³
# Density of states at the Fermi level = 2.78 states/eV/cell
# Raw formation energy = -0.112 eV/atom
data_Hg4Te2SI
_chemical_formula_sum 'Hg4 Te2 S1 I1'
_cell_length_a 6.713
_cell_length_b 6.713
_cell_length_c 8.043
_cell_angle_alpha 114.66
_cell_angle_beta 114.66
_cell_angle_gamma 90.01
_space_group_name_H-M_alt 'P 1'
_space_group_IT_number 1
loop_
_space_group_symop_operation_xyz
'x,y,z'
loop_
_atom_site_label
_atom_site_fract_x
_atom_site_fract_y
_atom_site_fract_z
I1 0.000 0.000 0.000
Te1 0.250 0.750 0.500
Te2 0.750 0.250 0.500
Hg1 0.159 0.159 0.743
Hg2 0.415 0.841 0.257
Hg3 0.584 0.584 0.743
Hg4 0.841 0.415 0.257
S1 0.500 0.500 0.000